# 1
Compound: K2HS2
Source: Alexandria via LeMat-Bulk
Functional: PBE-GGA
Structure: optimized geometry

Cell: 4.4704 7.4737 9.0010 Å, 90.00 104.38 90.00°
Closest atoms and distances in Å follow each position.
Sites, in units of the cell vectors:
K: 0.0144 0.3250 0.0288  2 H 3.08, 6 S 3.21-3.32
K: 0.2212 0.6338 0.4424  2 H 3.19, 5 S 3.23-3.26
K: 0.7788 0.1338 0.5576  2 H 3.19, 5 S 3.23-3.26
K: 0.9856 0.8250 0.9712  2 H 3.08, 6 S 3.21-3.32
H: 0.6051 0.7722 0.2103  1 S 1.36
H: 0.3949 0.2722 0.7897  1 S 1.36
S: 0.5867 0.5957 0.1735  1 H 1.36
S: 0.1514 0.0388 0.3029  2 H 3.10, 5 K 3.21-3.30
S: 0.8486 0.5388 0.6971  2 H 3.10, 5 K 3.21-3.30
S: 0.4133 0.0957 0.8265  1 H 1.36

## Properties
total energy	-0.24554	Ry/atom
theoretical density	1.63	g/cm3
polymorph energy (0 for the lowest one)	0.0	kJ per mole of atoms

---

# 2
Compound: TbBeCu3
Source: Alexandria via LeMat-Bulk
Functional: PBE-GGA
Structure: optimized geometry

Cell: 4.2479 4.2479 4.2479 Å, 90.00 90.00 90.00°
Closest atoms and distances in Å follow each position.
Sites, in units of the cell vectors:
Be: 0.0000 0.0000 0.0000  6 Cu 2.12
Tb: 0.5000 0.5000 0.5000  12 Cu 3.00
Cu: 0.0000 0.5000 0.0000  2 Be 2.12
Cu: 0.0000 0.0000 0.5000  2 Be 2.12
Cu: 0.5000 0.0000 0.0000  2 Be 2.12

## Properties
total energy	-0.30612	Ry/atom
theoretical density	7.77	g/cm3
formation energy	-0.180	eV/f.u.
polymorph energy (0 for the lowest one)	6.8	kJ per mole of atoms

---

# 3
Compound: VHRh
Source: Alexandria via LeMat-Bulk
Functional: PBE-GGA
Structure: optimized geometry

Cell: 2.7709 2.7710 15.6245 Å, 90.00 90.00 90.00°
Closest atoms and distances in Å follow each position.
Sites, in units of the cell vectors:
V: 0.7500 0.5009 0.1744  4 H 1.82
V: 0.2500 0.9991 0.8256  4 H 1.82
V: 0.2500 0.0009 0.3256  4 H 1.82
V: 0.7500 0.4991 0.6744  4 H 1.82
H: 0.2500 0.4989 0.7500  4 V 1.82, 4 H 1.96
H: 0.7500 0.0011 0.2500  4 V 1.82, 4 H 1.96
H: 0.7500 0.9989 0.7500  4 V 1.82, 4 H 1.96
H: 0.2500 0.5011 0.2500  4 V 1.82, 4 H 1.96
Rh: 0.2500 0.9994 0.5653  4 V 2.60, 8 Rh 2.77-2.83
Rh: 0.7500 0.5006 0.4347  4 V 2.60, 8 Rh 2.77-2.83
Rh: 0.7500 0.4994 0.9347  4 V 2.60, 8 Rh 2.77-2.83
Rh: 0.2500 0.0006 0.0653  4 V 2.60, 8 Rh 2.77-2.83

## Properties
total energy	-0.50596	Ry/atom
theoretical density	8.57	g/cm3
polymorph energy (0 for the lowest one)	2.9	kJ per mole of atoms

---

# 4
Compound: PrGa4Pd12
Source: Alexandria via LeMat-Bulk
Functional: PBE-GGA
Structure: optimized geometry

Cell: 7.4090 7.4090 7.4090 Å, 109.47 109.47 109.47°
Closest atoms and distances in Å follow each position.
Sites, in units of the cell vectors:
Pr: 0.0000 0.0000 0.0000  12 Pd 3.24
Ga: 0.0000 0.5000 0.0000  6 Pd 2.42
Ga: 0.5000 0.0000 0.0000  6 Pd 2.42
Ga: 0.5000 0.5000 0.5000  6 Pd 2.42
Ga: 0.0000 0.0000 0.5000  6 Pd 2.42
Pd: 0.8416 0.3441 0.1856  2 Ga 2.42, 1 Pd 2.67
Pd: 0.3441 0.5025 0.1584  2 Ga 2.42, 1 Pd 2.67
Pd: 0.8144 0.1584 0.6559  2 Ga 2.42, 1 Pd 2.67
Pd: 0.3441 0.1856 0.8416  2 Ga 2.42, 1 Pd 2.67
Pd: 0.1856 0.8416 0.3441  2 Ga 2.42, 1 Pd 2.67
Pd: 0.6559 0.4975 0.8416  2 Ga 2.42, 1 Pd 2.67
Pd: 0.5025 0.1584 0.3441  2 Ga 2.42, 1 Pd 2.67
Pd: 0.4975 0.8416 0.6559  2 Ga 2.42, 1 Pd 2.67
Pd: 0.6559 0.8144 0.1584  2 Ga 2.42, 1 Pd 2.67
Pd: 0.8416 0.6559 0.4975  2 Ga 2.42, 1 Pd 2.67
Pd: 0.1584 0.3441 0.5025  2 Ga 2.42, 1 Pd 2.67
Pd: 0.1584 0.6559 0.8144  2 Ga 2.42, 1 Pd 2.67

## Properties
total energy	-0.36134	Ry/atom
theoretical density	9.00	g/cm3
formation energy	-4.376	eV/f.u.

---

# 5
Compound: CrN2
Source: Alexandria via LeMat-Bulk
Functional: PBE-GGA
Structure: optimized geometry

Cell: 4.4000 4.8161 5.5836 Å, 90.00 90.00 90.00°
Closest atoms and distances in Å follow each position.
Sites, in units of the cell vectors:
Cr: 0.0000 0.2500 0.9165  4 N 1.78-1.87
Cr: 0.5000 0.7500 0.5835  4 N 1.78-1.87
Cr: 0.0000 0.7500 0.0835  4 N 1.78-1.87
Cr: 0.5000 0.2500 0.4165  4 N 1.78-1.87
N: 0.2799 0.4245 0.6364  2 Cr 1.78-1.87
N: 0.2201 0.9245 0.8636  2 Cr 1.78-1.87
N: 0.7799 0.5755 0.8636  2 Cr 1.78-1.87
N: 0.7201 0.0755 0.6364  2 Cr 1.78-1.87
N: 0.7201 0.5755 0.3636  2 Cr 1.78-1.87
N: 0.7799 0.0755 0.1364  2 Cr 1.78-1.87
N: 0.2201 0.4245 0.1364  2 Cr 1.78-1.87
N: 0.2799 0.9245 0.3636  2 Cr 1.78-1.87

## Properties
total energy	-0.62414	Ry/atom
E_form (uncorrected)	0.2662	eV per atom
theoretical density	4.49	g/cm3

---

# 6
Compound: ReOsAu3
Source: Alexandria via LeMat-Bulk
Functional: PBE-GGA
Structure: optimized geometry

Cell: 5.0126 5.0126 5.0126 Å, 90.00 90.00 90.00°
Closest atoms and distances in Å follow each position.
Sites, in units of the cell vectors:
Os: 0.0000 0.0000 0.0000  6 Au 2.51
Au: 0.0000 0.5000 0.0000  2 Os 2.51
Au: 0.0000 0.0000 0.5000  2 Os 2.51
Au: 0.5000 0.0000 0.0000  2 Os 2.51
Re: 0.5000 0.5000 0.5000  12 Au 3.54

## Properties
total energy	-0.33358	Ry/atom
theoretical density	12.75	g/cm3
formation energy	10.817	eV/f.u.
polymorph energy (0 for the lowest one)	0.0	kJ per mole of atoms

---

# 7
Compound: Tc2OsRu
Source: Alexandria via LeMat-Bulk
Functional: PBE-GGA
Structure: optimized geometry

Cell: 2.7381 4.7456 8.9626 Å, 85.07 98.73 89.94°
Closest atoms and distances in Å follow each position.
Sites, in units of the cell vectors:
Tc: 0.1700 0.6872 0.8230  3 Os 2.72-2.73, 6 Tc 2.74, 3 Ru 2.75-2.77
Tc: 0.9170 0.1070 0.3192  3 Os 2.67-2.68, 3 Ru 2.69-2.70, 6 Tc 2.74
Tc: 0.4170 0.6070 0.3192  3 Os 2.67-2.68, 3 Ru 2.69-2.70, 6 Tc 2.74
Tc: 0.6700 0.1872 0.8230  3 Os 2.72-2.73, 6 Tc 2.74, 3 Ru 2.75-2.77
Os: 0.2940 0.9803 0.0745  6 Tc 2.67-2.73, 6 Os 2.74
Os: 0.7940 0.4803 0.0745  6 Tc 2.67-2.73, 6 Os 2.74
Ru: 0.5388 0.9005 0.5668  6 Tc 2.69-2.77, 6 Ru 2.74
Ru: 0.0388 0.4005 0.5668  6 Tc 2.69-2.77, 6 Ru 2.74

## Properties
total energy	-0.75830	Ry/atom
theoretical density	14.11	g/cm3
formation energy	-0.031	eV/f.u.
polymorph energy (0 for the lowest one)	6.7	kJ per mole of atoms

---

# 8
Compound: HoErGePd
Source: Alexandria via LeMat-Bulk
Functional: PBE-GGA
Structure: optimized geometry

Cell: 3.8690 4.2976 5.7385 Å, 90.00 109.70 90.00°
Closest atoms and distances in Å follow each position.
Sites, in units of the cell vectors:
Ho: 0.8595 0.5000 0.7191  4 Pd 2.96, 3 Ge 2.99-3.09
Er: 0.1386 0.0000 0.2772  4 Ge 2.95, 3 Pd 3.03-3.06
Ge: 0.5826 0.5000 0.1652  2 Pd 2.78, 4 Er 2.95, 3 Ho 2.99-3.09
Pd: 0.4192 0.0000 0.8385  2 Ge 2.78, 4 Ho 2.96, 3 Er 3.03-3.06

## Properties
total energy	-0.41442	Ry/atom
theoretical density	9.45	g/cm3
formation energy	-3.603	eV/f.u.
polymorph energy (0 for the lowest one)	0.0	kJ per mole of atoms

---

# 9
Compound: Fe2Tc
Source: Alexandria via LeMat-Bulk
Functional: PBE-GGA
Structure: optimized geometry

Cell: 4.8177 4.8177 6.0506 Å, 77.26 77.26 31.28°
Closest atoms and distances in Å follow each position.
Sites, in units of the cell vectors:
Fe: 0.0000 0.0000 0.0074  8 Fe 2.48-2.65, 4 Tc 2.48-2.60
Fe: 0.6100 0.6100 0.2767  8 Fe 2.48-2.60, 4 Tc 2.53-2.54
Fe: 0.3293 0.3293 0.3328  3 Tc 2.47-2.54, 9 Fe 2.50-2.60
Fe: 0.6697 0.6697 0.6618  5 Tc 2.51-2.55, 7 Fe 2.51-2.65
Tc: 0.9508 0.9508 0.6018  8 Fe 2.51-2.60, 4 Tc 2.60-2.70
Tc: 0.2736 0.2736 0.9528  8 Fe 2.47-2.55, 4 Tc 2.60-2.70

## Properties
total energy	-0.66040	Ry/atom
theoretical density	9.81	g/cm3
formation energy	0.336	eV/f.u.
polymorph energy (0 for the lowest one)	8.8	kJ per mole of atoms

---

# 10
Compound: Tb2PmY6
Source: Alexandria via LeMat-Bulk
Functional: PBE-GGA
Structure: optimized geometry

Cell: 5.0621 10.7302 10.7306 Å, 90.00 90.00 90.00°
Closest atoms and distances in Å follow each position.
Sites, in units of the cell vectors:
Tb: 0.9998 0.3331 0.8333  10 Y 3.57-3.58, 2 Pm 3.58
Tb: 0.5002 0.8331 0.6667  10 Y 3.57-3.58, 2 Pm 3.58
Tb: 0.4998 0.1669 0.3333  10 Y 3.57-3.58, 2 Pm 3.58
Tb: 0.0002 0.6669 0.1667  10 Y 3.57-3.58, 2 Pm 3.58
Pm: 0.5000 0.5000 0.0000  8 Y 3.57-3.58, 4 Tb 3.58
Pm: 0.0000 0.0000 0.5000  8 Y 3.57-3.58, 4 Tb 3.58
Y: 0.9999 0.0002 0.1668  8 Y 3.57-3.58, 1 Pm 3.57, 3 Tb 3.58
Y: 0.0001 0.6668 0.5001  8 Y 3.57-3.58, 1 Pm 3.57, 3 Tb 3.58
Y: 0.0001 0.6669 0.8330  6 Y 3.57-3.58, 4 Tb 3.57-3.58, 2 Pm 3.58
Y: 0.4999 0.1669 0.6670  6 Y 3.57-3.58, 4 Tb 3.57-3.58, 2 Pm 3.58
Y: 0.4999 0.1669 0.9999  8 Y 3.57-3.58, 1 Pm 3.57, 3 Tb 3.58
Y: 0.5001 0.5002 0.3332  8 Y 3.57-3.58, 1 Pm 3.57, 3 Tb 3.58
Y: 0.0001 0.9998 0.8332  8 Y 3.57-3.58, 1 Pm 3.57, 3 Tb 3.58
Y: 0.9999 0.3332 0.4999  8 Y 3.57-3.58, 1 Pm 3.57, 3 Tb 3.58
Y: 0.9999 0.3331 0.1670  6 Y 3.57-3.58, 4 Tb 3.57-3.58, 2 Pm 3.58
Y: 0.5001 0.8331 0.3330  6 Y 3.57-3.58, 4 Tb 3.57-3.58, 2 Pm 3.58
Y: 0.5001 0.8331 0.0001  8 Y 3.57-3.58, 1 Pm 3.57, 3 Tb 3.58
Y: 0.4999 0.4998 0.6668  8 Y 3.57-3.58, 1 Pm 3.57, 3 Tb 3.58

## Properties
total energy	-0.42964	Ry/atom
theoretical density	5.68	g/cm3
formation energy	0.185	eV/f.u.
polymorph energy (0 for the lowest one)	0.0	kJ per mole of atoms

---

# 11
Compound: MnZnNiAs
Source: Alexandria via LeMat-Bulk
Functional: PBE-GGA
Structure: optimized geometry

Cell: 2.9912 2.9912 5.6968 Å, 90.00 90.00 90.00°
Closest atoms and distances in Å follow each position.
Sites, in units of the cell vectors:
Mn: 0.5000 0.5000 0.8085  4 As 2.44, 4 Zn 2.64, 1 Ni 2.72
Zn: 0.0000 0.0000 0.5312  4 Ni 2.53, 4 Mn 2.64, 1 As 2.80
Ni: 0.5000 0.5000 0.2862  4 Zn 2.53, 4 As 2.59, 1 Mn 2.72
As: 0.0000 0.0000 0.0223  4 Mn 2.44, 4 Ni 2.59

## Properties
total energy	-0.38392	Ry/atom
theoretical density	8.27	g/cm3
formation energy	-0.020	eV/f.u.
polymorph energy (0 for the lowest one)	5.6	kJ per mole of atoms

---

Question: What is the formula in the tenth record?
Answer: Tb2PmY6